No. 1
{
  "formula": "Sm2Al3GePt4",
  "functional": "GGA-PBE",
  "state": "relaxed",
  "cell": [[-0.526, -4.099, -1.167], [2.126, 0.767, -3.652], [8.849, -2.456, 4.636]],
  "species": ["Sm", "Sm", "Al", "Al", "Al", "Ge", "Pt", "Pt", "Pt", "Pt"],
  "fractional_positions": [[0.500, 0.000, 0.253], [0.000, 0.500, 0.747], [0.000, 0.000, 0.500], [0.500, 0.000, 0.872], [0.000, 0.500, 0.128], [0.500, 0.500, 0.500], [0.500, 0.500, 0.000], [0.000, 0.000, 0.000], [0.500, 0.000, 0.633], [0.000, 0.500, 0.367]],
  "dos_at_fermi_per_ev_atom": 0.611,
  "formation_enthalpy_0k_mev_per_atom": -1083.0
}

=====

No. 2
{
  "formula": "Sm2AlGe4Pt3",
  "functional": "GGA-PBE",
  "state": "relaxed",
  "cell": [[4.201, 0.000, 0.000], [0.000, 4.201, 0.000], [0.000, 0.000, 10.857]],
  "species": ["Sm", "Sm", "Al", "Ge", "Ge", "Ge", "Ge", "Pt", "Pt", "Pt"],
  "fractional_positions": [[0.500, 0.000, 0.251], [0.000, 0.500, 0.749], [0.500, 0.500, 0.500], [0.500, 0.500, 0.000], [0.000, 0.000, 0.000], [0.500, 0.000, 0.642], [0.000, 0.500, 0.358], [0.000, 0.000, 0.500], [0.500, 0.000, 0.868], [0.000, 0.500, 0.132]],
  "dos_at_fermi_per_ev_atom": 0.405,
  "formation_enthalpy_0k_mev_per_atom": -858.0
}